The following is a DFT calculation (GGA-PBE) of an optimized crystal structure of Li4Tb3Tl4.

Relative energy among the computed polymorphs (eV/atom): 0.018
Calculated total energy (eV per atom): -3.0751
DOS at the Fermi energy (states/eV/f.u.): 10.7
Total magnetic moment (μB per atom): 0.00
Crystal system: orthorhombic

Cell: 8.698 8.698 8.698 Å, 148.29 130.96 59.59°
Positions (direct):
1 Li 0.011 0.825 0.186
2 Li 0.361 0.175 0.186
3 Li 0.639 0.825 0.814
4 Li 0.989 0.175 0.814
5 Tb 0.000 0.500 0.500
6 Tb 0.381 0.381 0.000
7 Tb 0.619 0.619 0.000
8 Tl 0.219 0.719 0.500
9 Tl 0.288 0.000 0.288
10 Tl 0.712 0.000 0.712
11 Tl 0.781 0.281 0.500



The following is a DFT calculation (GGA-PBE) of an optimized crystal structure of MnGaFe2H.

Relative energy among the computed polymorphs (eV/atom): 0.000
Calculated total energy (eV per atom): -6.6224
DOS at the Fermi energy (states/eV/f.u.): 2.8
Total magnetic moment (μB per atom): 1.38
Crystal system: tetragonal

Cell: 3.692 3.692 3.756 Å, 90.00 90.00 90.00°
Positions (direct):
1 Mn 0.000 0.000 0.000
2 Ga 0.500 0.500 0.000
3 Fe 0.000 0.500 0.500
4 Fe 0.500 0.000 0.500
5 H 0.000 0.000 0.500



The following is a DFT calculation (GGA-PBE) of an optimized crystal structure of LiYFe.

Relative energy among the computed polymorphs (eV/atom): 0.008
Calculated total energy (eV per atom): -5.5712
DOS at the Fermi energy (states/eV/f.u.): 2.9
Total magnetic moment (μB per atom): 0.37
Crystal system: trigonal

Cell: 11.337 11.337 11.337 Å, 19.63 19.63 19.63°
Positions (direct):
1 Li 0.196 0.196 0.196
2 Li 0.804 0.804 0.804
3 Y 0.056 0.056 0.056
4 Y 0.944 0.944 0.944
5 Fe 0.331 0.331 0.331
6 Fe 0.669 0.669 0.669



The following is a DFT calculation (GGA-PBE) of an optimized crystal structure of Pm6NdSm2Ho3.

Calculated total energy (eV per atom): -4.6890
DOS at the Fermi energy (states/eV/f.u.): 15.8
Total magnetic moment (μB per atom): 0.00
Crystal system: monoclinic

Cell: 6.274 6.274 11.956 Å, 95.01 95.01 120.00°
Positions (direct):
1 Pm 0.085 0.418 0.753
2 Pm 0.249 0.249 0.246
3 Pm 0.418 0.085 0.753
4 Pm 0.582 0.915 0.247
5 Pm 0.751 0.751 0.754
6 Pm 0.915 0.582 0.247
7 Nd 0.000 0.000 0.500
8 Sm 0.333 0.667 0.500
9 Sm 0.667 0.333 0.500
10 Ho 0.167 0.833 0.000
11 Ho 0.500 0.500 0.000
12 Ho 0.833 0.167 0.000



The following is a DFT calculation (GGA-PBE) of an optimized crystal structure of La12Co5Rh3.

Calculated total energy (eV per atom): -5.9511
DOS at the Fermi energy (states/eV/f.u.): 16.3
Total magnetic moment (μB per atom): 0.00
Crystal system: cubic

Cell: 14.332 14.332 14.332 Å, 109.47 109.47 109.47°
Positions (direct):
1 La 0.037 0.215 0.127
2 La 0.037 0.322 0.910
3 La 0.087 0.715 0.678
4 La 0.087 0.873 0.410
5 La 0.090 0.627 0.413
6 La 0.090 0.963 0.678
7 La 0.127 0.037 0.215
8 La 0.127 0.590 0.913
9 La 0.178 0.215 0.587
10 La 0.178 0.463 0.590
11 La 0.215 0.127 0.037
12 La 0.215 0.587 0.178
13 La 0.285 0.322 0.913
14 La 0.285 0.463 0.373
15 La 0.322 0.910 0.037
16 La 0.322 0.913 0.285
17 La 0.373 0.285 0.463
18 La 0.373 0.587 0.910
19 La 0.410 0.087 0.873
20 La 0.410 0.822 0.537
21 La 0.413 0.090 0.627
22 La 0.413 0.822 0.785
23 La 0.463 0.373 0.285
24 La 0.463 0.590 0.178
25 La 0.537 0.410 0.822
26 La 0.537 0.627 0.715
27 La 0.587 0.178 0.215
28 La 0.587 0.910 0.373
29 La 0.590 0.178 0.463
30 La 0.590 0.913 0.127
31 La 0.627 0.413 0.090
32 La 0.627 0.715 0.537
33 La 0.678 0.087 0.715
34 La 0.678 0.090 0.963
35 La 0.715 0.537 0.627
36 La 0.715 0.678 0.087
37 La 0.785 0.413 0.822
38 La 0.785 0.873 0.963
39 La 0.822 0.537 0.410
40 La 0.822 0.785 0.413
41 La 0.873 0.410 0.087
42 La 0.873 0.963 0.785
43 La 0.910 0.037 0.322
44 La 0.910 0.373 0.587
45 La 0.913 0.127 0.590
46 La 0.913 0.285 0.322
47 La 0.963 0.678 0.090
48 La 0.963 0.785 0.873
49 Co 0.000 0.000 0.000
50 Co 0.000 0.000 0.500
51 Co 0.000 0.500 0.000
52 Co 0.000 0.500 0.500
53 Co 0.125 0.750 0.875
54 Co 0.125 0.875 0.250
55 Co 0.250 0.125 0.875
56 Co 0.250 0.625 0.375
57 Co 0.375 0.250 0.625
58 Co 0.375 0.625 0.750
59 Co 0.500 0.000 0.000
60 Co 0.500 0.000 0.500
61 Co 0.500 0.500 0.000
62 Co 0.500 0.500 0.500
63 Co 0.625 0.375 0.250
64 Co 0.625 0.750 0.375
65 Co 0.750 0.375 0.625
66 Co 0.750 0.875 0.125
67 Co 0.875 0.125 0.750
68 Co 0.875 0.250 0.125
69 Rh 0.125 0.250 0.375
70 Rh 0.125 0.375 0.750
71 Rh 0.250 0.375 0.125
72 Rh 0.250 0.875 0.625
73 Rh 0.375 0.125 0.250
74 Rh 0.375 0.750 0.125
75 Rh 0.625 0.250 0.875
76 Rh 0.625 0.875 0.750
77 Rh 0.750 0.125 0.375
78 Rh 0.750 0.625 0.875
79 Rh 0.875 0.625 0.250
80 Rh 0.875 0.750 0.625



The following is a DFT calculation (GGA-PBE) of an optimized crystal structure of Pm3Tc2Ge4.

Calculated total energy (eV per atom): -6.5557
DOS at the Fermi energy (states/eV/f.u.): 4.9
Total magnetic moment (μB per atom): 0.00
Crystal system: monoclinic

Cell: 5.999 5.999 8.403 Å, 108.33 108.33 42.97°
Positions (direct):
1 Pm 0.000 0.000 0.000
2 Pm 0.374 0.374 0.301
3 Pm 0.626 0.626 0.699
4 Tc 0.317 0.317 0.641
5 Tc 0.683 0.683 0.359
6 Ge 0.098 0.098 0.408
7 Ge 0.294 0.294 0.921
8 Ge 0.706 0.706 0.079
9 Ge 0.902 0.902 0.592



The following is a DFT calculation (GGA-PBE) of an optimized crystal structure of Ac2PmPr2Dy.

Calculated total energy (eV per atom): -4.4451
DOS at the Fermi energy (states/eV/f.u.): 9.2
Total magnetic moment (μB per atom): 0.00
Crystal system: orthorhombic

Cell: 7.383 5.962 10.283 Å, 90.00 90.00 90.00°
Positions (direct):
1 Ac 0.000 0.000 0.000
2 Ac 0.250 0.500 0.175
3 Ac 0.500 0.000 0.000
4 Ac 0.750 0.500 0.825
5 Pm 0.000 0.500 0.500
6 Pm 0.500 0.500 0.500
7 Pr 0.250 0.000 0.344
8 Pr 0.250 0.500 0.827
9 Pr 0.750 0.000 0.656
10 Pr 0.750 0.500 0.173
11 Dy 0.250 0.000 0.664
12 Dy 0.750 0.000 0.336



The following is a DFT calculation (GGA-PBE) of an optimized crystal structure of Zn4Ni15Pd.

Calculated total energy (eV per atom): -4.9291
DOS at the Fermi energy (states/eV/f.u.): 22.7
Total magnetic moment (μB per atom): 0.32
Crystal system: tetragonal

Cell: 3.600 3.600 17.772 Å, 90.00 90.00 90.00°
Positions (direct):
1 Zn 0.000 0.000 0.099
2 Zn 0.000 0.000 0.297
3 Zn 0.000 0.000 0.703
4 Zn 0.000 0.000 0.901
5 Ni 0.000 0.500 0.000
6 Ni 0.000 0.500 0.198
7 Ni 0.000 0.500 0.397
8 Ni 0.000 0.500 0.603
9 Ni 0.000 0.500 0.802
10 Ni 0.500 0.000 0.000
11 Ni 0.500 0.000 0.198
12 Ni 0.500 0.000 0.397
13 Ni 0.500 0.000 0.603
14 Ni 0.500 0.000 0.802
15 Ni 0.500 0.500 0.099
16 Ni 0.500 0.500 0.298
17 Ni 0.500 0.500 0.500
18 Ni 0.500 0.500 0.702
19 Ni 0.500 0.500 0.901
20 Pd 0.000 0.000 0.500



The following is a DFT calculation (GGA-PBE) of an optimized crystal structure of ZrTaNi2.

Calculated total energy (eV per atom): -7.9696
DOS at the Fermi energy (states/eV/f.u.): 4.1
Total magnetic moment (μB per atom): 0.00
Crystal system: monoclinic

Cell: 7.995 2.979 5.760 Å, 90.00 102.97 90.00°
Positions (direct):
1 Zr 0.000 0.000 0.000
2 Zr 0.500 0.500 0.000
3 Ta 0.000 0.500 0.500
4 Ta 0.500 0.000 0.500
5 Ni 0.248 0.000 0.689
6 Ni 0.252 0.500 0.311
7 Ni 0.748 0.500 0.689
8 Ni 0.752 0.000 0.311



The following is a DFT calculation (GGA-PBE) of an optimized crystal structure of CaLaGdTh.

Calculated total energy (eV per atom): -6.9006
DOS at the Fermi energy (states/eV/f.u.): 6.8
Total magnetic moment (μB per atom): 2.16
Crystal system: cubic

Cell: 8.263 8.263 8.263 Å, 90.00 90.00 90.00°
Positions (direct):
1 Ca 0.000 0.000 0.000
2 Ca 0.000 0.500 0.500
3 Ca 0.500 0.000 0.500
4 Ca 0.500 0.500 0.000
5 La 0.250 0.250 0.250
6 La 0.250 0.750 0.750
7 La 0.750 0.250 0.750
8 La 0.750 0.750 0.250
9 Gd 0.250 0.250 0.750
10 Gd 0.250 0.750 0.250
11 Gd 0.750 0.250 0.250
12 Gd 0.750 0.750 0.750
13 Th 0.000 0.000 0.500
14 Th 0.000 0.500 0.000
15 Th 0.500 0.000 0.000
16 Th 0.500 0.500 0.500



The following is a DFT calculation (GGA-PBE) of an optimized crystal structure of Cs2TlCd3Sb4.

Calculated total energy (eV per atom): -2.5769
DOS at the Fermi energy (states/eV/f.u.): 3.5
Total magnetic moment (μB per atom): 0.00
Formation energy without anion corrections (kJ/mol of atoms): -23.7
Crystal system: tetragonal

Cell: 5.364 5.364 11.776 Å, 90.00 90.00 90.00°
Positions (direct):
1 Cs 0.000 0.500 0.249
2 Cs 0.500 0.000 0.751
3 Tl 0.000 0.000 0.500
4 Cd 0.000 0.500 0.878
5 Cd 0.500 0.000 0.122
6 Cd 0.500 0.500 0.500
7 Sb 0.000 0.000 0.000
8 Sb 0.000 0.500 0.629
9 Sb 0.500 0.000 0.371
10 Sb 0.500 0.500 0.000



The following is a DFT calculation (GGA-PBE) of an optimized crystal structure of TaVNi2.

Relative energy among the computed polymorphs (eV/atom): 0.092
Calculated total energy (eV per atom): -8.2157
DOS at the Fermi energy (states/eV/f.u.): 5.0
Total magnetic moment (μB per atom): 0.25
Crystal system: tetragonal

Cell: 2.886 2.886 6.429 Å, 90.00 90.00 90.00°
Positions (direct):
1 Ta 0.000 0.000 0.000
2 V 0.000 0.000 0.500
3 Ni 0.500 0.500 0.285
4 Ni 0.500 0.500 0.715